Here is crystalline K2BaAg at its relaxed geometry from Alexandria. Energies are from GGA-PBE.

Values from the calculation:
* energy above the lowest structure with this stoichiometry: 145 meV per atom
* final energy: -1.621 eV per atom
* DFT formation energy: 0.121 eV/atom
* symmetry: I-42d (122)

```
8
Lattice="11.109 0.000 0.000 0.000 11.109 0.000 5.554 5.554 3.512" Properties=species:S:1:pos:R:3 pbc="T T T"
K 7.334 2.777 0.878
K 3.775 8.332 0.878
K 8.332 9.329 2.634
K 13.886 12.889 2.634
Ba 0.000 0.000 0.000
Ba 11.109 5.554 1.756
Ag 5.554 5.554 0.000
Ag 5.554 11.109 1.756
```